No. 1
# TiWN2F PBE+U optimized geometry
data_TiWN2F
_symmetry_space_group_name_H-M 'P 4/m m m'
_symmetry_Int_Tables_number 123
_symmetry_space_group_name_Hall '-P 4 2'
_cell_length_a 4.015
_cell_length_b 4.015
_cell_length_c 3.736
_cell_angle_alpha 90.00
_cell_angle_beta 90.00
_cell_angle_gamma 90.00
loop_
_atom_site_label
_atom_site_type_symbol
_atom_site_fract_x
_atom_site_fract_y
_atom_site_fract_z
Ti1 Ti 0.000 0.000 0.000
W1 W 0.500 0.500 0.500
N1 N 0.000 0.500 0.000
F1 F 0.000 0.000 0.500
# **Raw total energy**: -7.142 eV per atom
# **Density of states at the Fermi level**: 0.71 states/eV/cell

---

No. 2
# TiWNF2 PBE+U optimized geometry
data_TiWNF2
_symmetry_space_group_name_H-M 'P 4/m m m'
_symmetry_Int_Tables_number 123
_symmetry_space_group_name_Hall '-P 4 2'
_cell_length_a 3.938
_cell_length_b 3.938
_cell_length_c 4.230
_cell_angle_alpha 90.00
_cell_angle_beta 90.00
_cell_angle_gamma 90.00
loop_
_atom_site_label
_atom_site_type_symbol
_atom_site_fract_x
_atom_site_fract_y
_atom_site_fract_z
Ti1 Ti 0.000 0.000 0.000
W1 W 0.500 0.500 0.500
N1 N 0.000 0.000 0.500
F1 F 0.000 0.500 0.000
# **Raw total energy**: -6.491 eV per atom
# **Density of states at the Fermi level**: 2.07 states/eV/cell

---

No. 3
# TiWNF2 PBE+U optimized geometry
data_TiWNF2
_symmetry_space_group_name_H-M 'P 4/m m m'
_symmetry_Int_Tables_number 123
_symmetry_space_group_name_Hall '-P 4 2'
_cell_length_a 4.218
_cell_length_b 4.218
_cell_length_c 4.137
_cell_angle_alpha 90.00
_cell_angle_beta 90.00
_cell_angle_gamma 90.00
loop_
_atom_site_label
_atom_site_type_symbol
_atom_site_fract_x
_atom_site_fract_y
_atom_site_fract_z
Ti1 Ti 0.000 0.000 0.000
W1 W 0.500 0.500 0.500
N1 N 0.500 0.500 0.000
F1 F 0.000 0.500 0.500
# **Raw total energy**: -6.082 eV per atom
# **Density of states at the Fermi level**: 4.54 states/eV/cell

---

No. 4
# TiWN2F PBE+U optimized geometry
data_TiWN2F
_symmetry_space_group_name_H-M 'P 4/m m m'
_symmetry_Int_Tables_number 123
_symmetry_space_group_name_Hall '-P 4 2'
_cell_length_a 4.044
_cell_length_b 4.044
_cell_length_c 4.015
_cell_angle_alpha 90.00
_cell_angle_beta 90.00
_cell_angle_gamma 90.00
loop_
_atom_site_label
_atom_site_type_symbol
_atom_site_fract_x
_atom_site_fract_y
_atom_site_fract_z
Ti1 Ti 0.000 0.000 0.000
W1 W 0.500 0.500 0.500
N1 N 0.000 0.500 0.500
F1 F 0.500 0.500 0.000
# **Raw total energy**: -6.944 eV per atom
# **Density of states at the Fermi level**: 3.91 states/eV/cell